# 1
This record from Alexandria via LeMat-Bulk describes an optimized crystal structure of SrMnSeN2. The functional is PBE.

Energy relative to the lowest polymorph listed for this composition: 144.0 kJ per mole of atoms
ΔE_f (raw): 1496.6 meV/atom

abc: 4.688 4.688 6.201
angles: 90.00 90.00 90.00
Element x y z (fractional)
Sr: 0.000 0.000 0.000
Mn: 0.500 0.500 0.500
Se: 0.000 0.000 0.500
N: 0.000 0.500 0.000
N: 0.500 0.000 0.000

=====

# 2
This record from Alexandria via LeMat-Bulk describes an optimized crystal structure of Ti2BeZnH. The functional is PBE.

Energy relative to the lowest polymorph listed for this composition: 6.1 kJ per mole of atoms

abc: 3.923 3.923 3.828
angles: 90.00 90.00 90.00
Element x y z (fractional)
Ti: 0.000 0.500 0.000
Ti: 0.500 0.000 0.000
Be: 0.000 0.000 0.500
Zn: 0.500 0.500 0.500
H: 0.500 0.500 0.000

=====

# 3
This record from Alexandria via LeMat-Bulk describes an optimized crystal structure of SrCdFe2. The functional is PBE.

DFT total energy: -0.1522 hartree per atom

abc: 4.436 4.436 4.249
angles: 90.00 90.00 90.00
Element x y z (fractional)
Sr: 0.000 0.000 0.000
Cd: 0.500 0.500 0.000
Fe: 0.000 0.500 0.500
Fe: 0.500 0.000 0.500

=====

Number 1 is which compound? SrMnSeN2